[1]
Here is a geometry-optimized Os3C4 structure from the Alexandria database. Energies are from GGA-PBE.

abc: 4.7054 4.7054 4.7054
angles: 90.00 90.00 90.00
With the nearest neighbours (Å) after each atom.
Sites, in units of the cell vectors:
C 0.2924 0.2924 0.7076  3 Os 1.95
C 0.7076 0.7076 0.7076  3 Os 1.95
C 0.7076 0.2924 0.2924  3 Os 1.95
C 0.2924 0.7076 0.2924  3 Os 1.95
Os 0.5000 0.5000 0.0000  4 C 1.95
Os 0.5000 0.0000 0.5000  4 C 1.95
Os 0.0000 0.5000 0.5000  4 C 1.95

Results
- formation energy (meV per atom) = 1090
- SG = P-43m
- DOS at the Fermi energy (states/eV/f.u.) = 4.0
- total DFT energy (no corrections) (eV/atom) = -8.993

=====

[2]
Here is a geometry-optimized MgCdPt5 structure from the Alexandria database. Energies are from GGA-PBE.

abc: 3.9103 3.9102 8.1252
angles: 90.00 90.00 90.00
With the nearest neighbours (Å) after each atom.
Sites, in units of the cell vectors:
Pt 0.0000 0.5000 0.7597  2 Mg 2.76, 6 Pt 2.76-2.88, 2 Cd 2.88
Pt 0.5000 0.0000 0.2403  2 Mg 2.76, 6 Pt 2.76-2.88, 2 Cd 2.88
Pt 0.0000 0.5000 0.2403  2 Mg 2.76, 6 Pt 2.76-2.88, 2 Cd 2.88
Pt 0.5000 0.0000 0.7597  2 Mg 2.76, 6 Pt 2.76-2.88, 2 Cd 2.88
Pt 0.5000 0.5000 0.5000  4 Cd 2.76, 8 Pt 2.88
Cd 0.0000 0.0000 0.5000  12 Pt 2.76-2.88
Mg 0.5000 0.5000 0.0000  8 Pt 2.76

Results
- formation energy (meV per atom) = -186
- SG = P4/mmm
- DOS at the Fermi energy (states/eV/f.u.) = 7.0
- total DFT energy (no corrections) (eV/atom) = -4.859

=====

What did the second record say?
Here is a geometry-optimized MgCdPt5 structure from the Alexandria database. Energies are from GGA-PBE.

abc: 3.9103 3.9102 8.1252
angles: 90.00 90.00 90.00
With the nearest neighbours (Å) after each atom.
Sites, in units of the cell vectors:
Pt 0.0000 0.5000 0.7597  2 Mg 2.76, 6 Pt 2.76-2.88, 2 Cd 2.88
Pt 0.5000 0.0000 0.2403  2 Mg 2.76, 6 Pt 2.76-2.88, 2 Cd 2.88
Pt 0.0000 0.5000 0.2403  2 Mg 2.76, 6 Pt 2.76-2.88, 2 Cd 2.88
Pt 0.5000 0.0000 0.7597  2 Mg 2.76, 6 Pt 2.76-2.88, 2 Cd 2.88
Pt 0.5000 0.5000 0.5000  4 Cd 2.76, 8 Pt 2.88
Cd 0.0000 0.0000 0.5000  12 Pt 2.76-2.88
Mg 0.5000 0.5000 0.0000  8 Pt 2.76

Results
- formation energy (meV per atom) = -186
- SG = P4/mmm
- DOS at the Fermi energy (states/eV/f.u.) = 7.0
- total DFT energy (no corrections) (eV/atom) = -4.859

=====

Please write out number 1 again, unchanged.
Here is a geometry-optimized Os3C4 structure from the Alexandria database. Energies are from GGA-PBE.

abc: 4.7054 4.7054 4.7054
angles: 90.00 90.00 90.00
With the nearest neighbours (Å) after each atom.
Sites, in units of the cell vectors:
C 0.2924 0.2924 0.7076  3 Os 1.95
C 0.7076 0.7076 0.7076  3 Os 1.95
C 0.7076 0.2924 0.2924  3 Os 1.95
C 0.2924 0.7076 0.2924  3 Os 1.95
Os 0.5000 0.5000 0.0000  4 C 1.95
Os 0.5000 0.0000 0.5000  4 C 1.95
Os 0.0000 0.5000 0.5000  4 C 1.95

Results
- formation energy (meV per atom) = 1090
- SG = P-43m
- DOS at the Fermi energy (states/eV/f.u.) = 4.0
- total DFT energy (no corrections) (eV/atom) = -8.993

=====

Question: Which value of total DFT energy (no corrections) does entry 2 give?
Answer: -4.859 eV/atom